1.
The following is a DFT calculation (PBE) of a relaxed CePm2Zn crystal.

a b c (Å): 5.332 5.332 5.332
angles (deg): 60.00 60.00 60.00
Fractional coordinates of all 4 atoms:
Ce (0.000, 0.000, 0.000)
Pm (0.250, 0.250, 0.250)
Pm (0.750, 0.750, 0.750)
Zn (0.500, 0.500, 0.500)

Computed properties:
Size of the total moment, μB per atom: 0.496
Excess energy over the best structure of this formula in the dataset, eV/atom: 0.215
Calculated formation energy, eV/atom: 0.11
Final energy, eV per atom: -4.0694

2.
The following is a DFT calculation (PBE) of a relaxed Ce3PmZn8 crystal.

a b c (Å): 9.527 9.527 9.527
angles (deg): 33.70 33.70 33.70
Fractional coordinates of all 12 atoms:
Ce (0.000, 0.000, 0.000)
Ce (0.121, 0.121, 0.121)
Ce (0.626, 0.626, 0.626)
Pm (0.500, 0.500, 0.500)
Zn (0.062, 0.062, 0.562)
Zn (0.062, 0.562, 0.062)
Zn (0.064, 0.561, 0.561)
Zn (0.312, 0.312, 0.312)
Zn (0.561, 0.064, 0.561)
Zn (0.561, 0.561, 0.064)
Zn (0.562, 0.062, 0.062)
Zn (0.812, 0.812, 0.812)

Computed properties:
Size of the total moment, μB per atom: 0.147
Excess energy over the best structure of this formula in the dataset, eV/atom: 0.000
Calculated formation energy, eV/atom: -0.28
Final energy, eV per atom: -3.0110

3.
The following is a DFT calculation (PBE) of a relaxed CePm2Zn6 crystal.

a b c (Å): 7.910 7.910 3.537
angles (deg): 90.00 90.00 120.00
Fractional coordinates of all 9 atoms:
Ce (0.000, 0.000, 0.000)
Pm (0.333, 0.667, 0.000)
Pm (0.667, 0.333, 0.000)
Zn (0.000, 0.334, 0.500)
Zn (0.000, 0.666, 0.500)
Zn (0.334, 0.000, 0.500)
Zn (0.334, 0.334, 0.500)
Zn (0.666, 0.000, 0.500)
Zn (0.666, 0.666, 0.500)

Computed properties:
Size of the total moment, μB per atom: 0.153
Calculated formation energy, eV/atom: -0.33
Final energy, eV per atom: -2.8929

4.
The following is a DFT calculation (PBE) of a relaxed CePm2Zn crystal.

a b c (Å): 12.021 12.021 12.021
angles (deg): 16.57 16.57 16.57
Fractional coordinates of all 4 atoms:
Ce (0.000, 0.000, 0.000)
Pm (0.413, 0.413, 0.413)
Pm (0.587, 0.587, 0.587)
Zn (0.500, 0.500, 0.500)

Computed properties:
Size of the total moment, μB per atom: 0.107
Excess energy over the best structure of this formula in the dataset, eV/atom: 0.384
Calculated formation energy, eV/atom: 0.28
Final energy, eV per atom: -3.9004